## P
The following is a PBEsol calculation of an optimized crystal structure of Tl2AsRh, from Alexandria via LeMat-Bulk.

Results
The space-group type is Fm-3m. For the calculated density, the calculation gives 12.19 g cm⁻³. Its volume is 79.9 Å³ per cell. The density of states at the Fermi level is 3.00 states/eV per cell.

POSCAR file:
```
Tl2AsRh
1.0
-1.858 -3.011 -3.296
-0.149 -4.752 0.879
-4.239 -2.174 0.828
Rh Tl As
1 2 1
Direct
0.500 0.500 0.500
0.250 0.250 0.250
0.750 0.750 0.750
0.000 0.000 0.000
```

---

## Q
The following is a PBEsol calculation of an optimized crystal structure of Tl2AsRh, from Alexandria via LeMat-Bulk.

Results
The space-group type is F-43m. For the calculated density, the calculation gives 12.07 g cm⁻³. Its volume is 80.7 Å³ per cell. The density of states at the Fermi level is 1.93 states/eV per cell.

POSCAR file:
```
Tl2AsRh
1.0
-2.980 2.998 -2.379
-0.758 -0.601 -4.753
-4.294 -1.604 -1.588
Tl As Rh
2 1 1
Direct
0.750 0.750 0.750
0.000 0.000 0.000
0.500 0.500 0.500
0.250 0.250 0.250
```

---

## R
The following is a PBEsol calculation of an optimized crystal structure of Tl2AsRh, from Alexandria via LeMat-Bulk.

Results
The space-group type is R-3m. For the calculated density, the calculation gives 11.79 g cm⁻³. Its volume is 82.6 Å³ per cell. The density of states at the Fermi level is 3.02 states/eV per cell.

POSCAR file:
```
Tl2AsRh
1.0
-0.985 -1.655 2.654
-0.878 -3.148 -0.263
7.758 -4.069 2.369
Rh Tl As
1 2 1
Direct
0.000 0.000 0.000
0.742 0.742 0.775
0.258 0.258 0.225
0.500 0.500 0.500
```

---

Tell me which of them is the most stable. Sure, it is R.

---

## P
The following is a PBEsol calculation of an optimized crystal structure of TlAs2Rh, from Alexandria via LeMat-Bulk.

Results
The space-group type is P2/m. For the calculated density, the calculation gives 9.06 g cm⁻³. Its volume is 83.8 Å³ per cell. The density of states at the Fermi level is 1.92 states/eV per cell.

POSCAR file:
```
TlAs2Rh
1.0
3.997 0.000 0.000
0.000 4.632 0.001
0.000 -1.962 4.526
Rh Tl As
1 1 2
Direct
0.500 0.000 0.500
0.500 0.500 0.000
0.000 0.795 0.651
0.000 0.205 0.349
```

---

## Q
The following is a PBEsol calculation of an optimized crystal structure of TlAs2Rh, from Alexandria via LeMat-Bulk.

Results
The space-group type is Cmmm. For the calculated density, the calculation gives 10.25 g cm⁻³. Its volume is 74.0 Å³ per cell. The density of states at the Fermi level is 2.21 states/eV per cell.

POSCAR file:
```
TlAs2Rh
1.0
-1.771 0.648 -2.971
-4.075 -0.360 2.350
1.451 4.488 0.114
Tl As Rh
1 2 1
Direct
0.500 0.500 0.500
0.000 0.500 0.000
0.000 0.000 0.500
0.500 0.000 0.000
```

---

Tell me which of them is the most stable. Sure, it is P.

---

## P
The following is a PBEsol calculation of an optimized crystal structure of As2RhW, from Alexandria via LeMat-Bulk.

Results
The space-group type is F-43m. For the calculated density, the calculation gives 11.69 g cm⁻³. Its volume is 62.0 Å³ per cell. The density of states at the Fermi level is 4.35 states/eV per cell.

POSCAR file:
```
As2RhW
1.0
-0.775 -4.368 0.240
2.335 -2.813 -2.525
3.004 -2.690 1.865
W As Rh
1 2 1
Direct
0.250 0.250 0.250
0.750 0.750 0.750
0.000 0.000 0.000
0.500 0.500 0.500
```

---

## Q
The following is a PBEsol calculation of an optimized crystal structure of As2RhW, from Alexandria via LeMat-Bulk.

Results
The space-group type is Imm2. For the calculated density, the calculation gives 11.93 g cm⁻³. Its volume is 60.8 Å³ per cell. The density of states at the Fermi level is 3.80 states/eV per cell.

POSCAR file:
```
As2RhW
1.0
3.107 0.000 0.000
0.000 4.183 0.000
-1.553 -2.092 4.675
As Rh W
2 1 1
Direct
0.994 0.994 0.987
0.767 0.267 0.534
0.485 0.485 0.970
0.255 0.755 0.509
```

---

## R
The following is a PBEsol calculation of an optimized crystal structure of As2RhW, from Alexandria via LeMat-Bulk.

Results
The space-group type is Pmm2. For the calculated density, the calculation gives 11.98 g cm⁻³. Its volume is 60.5 Å³ per cell. The density of states at the Fermi level is 2.31 states/eV per cell.

POSCAR file:
```
As2RhW
1.0
-1.259 2.584 -0.880
-2.210 0.195 3.736
3.485 2.358 1.938
Rh As W
1 2 1
Direct
0.625 0.511 0.000
0.125 0.988 0.000
0.625 0.260 0.500
0.125 0.741 0.500
```

---

Tell me which of them is the most stable. Sure, it is R.